First-principles (PBE) data for a relaxed TaZn4 crystal, as listed in the Alexandria database.

a = 4.826 Å, b = 4.826 Å, c = 4.826 Å
α = 100.13°, β = 100.13°, γ = 130.41°
Fractional positions:
Ta 0.000 0.000 0.000
Zn 0.198 0.415 0.613
Zn 0.415 0.802 0.218
Zn 0.585 0.198 0.782
Zn 0.802 0.585 0.387

Calculated values
Formation energy from the elements   215 meV per atom
Distance to the lowest polymorph of the same formula   0.001 eV per atom